Entry 1:
## Zr2GaBr (PBE-GGA)

Data for a relaxed structure of Zr2GaBr.

Results
- calculated volume (Å³/cell) = 81
- total DFT energy (no corrections) (eV/atom) = -5.6687

a = 4.851 Å, b = 4.851 Å, c = 4.851 Å
α = 60.00°, β = 60.00°, γ = 60.00°
Sites, in units of the cell vectors:
Ga 0.000 0.000 0.000
Br 0.500 0.500 0.500
Zr 0.250 0.250 0.250
Zr 0.750 0.750 0.750

Entry 2:
## Zr3GaBr (PBE-GGA)

Data for a relaxed structure of Zr3GaBr.

Results
- calculated volume (Å³/cell) = 122
- total DFT energy (no corrections) (eV/atom) = -5.6573

a = 4.957 Å, b = 4.957 Å, c = 4.957 Å
α = 90.00°, β = 90.00°, γ = 90.00°
Sites, in units of the cell vectors:
Ga 0.500 0.500 0.500
Br 0.000 0.000 0.000
Zr 0.000 0.500 0.000
Zr 0.000 0.000 0.500
Zr 0.500 0.000 0.000

Entry 3:
## ZrGaBr2 (PBE-GGA)

Data for a relaxed structure of ZrGaBr2.

Results
- calculated volume (Å³/cell) = 87
- total DFT energy (no corrections) (eV/atom) = -3.9244

a = 4.975 Å, b = 4.975 Å, c = 4.975 Å
α = 60.00°, β = 60.00°, γ = 60.00°
Sites, in units of the cell vectors:
Ga 0.000 0.000 0.000
Br 0.250 0.250 0.250
Br 0.750 0.750 0.750
Zr 0.500 0.500 0.500

Entry 4:
## ZrGaBr2 (PBE-GGA)

Data for a relaxed structure of ZrGaBr2.

Results
- calculated volume (Å³/cell) = 259
- total DFT energy (no corrections) (eV/atom) = -4.1219

a = 9.619 Å, b = 9.619 Å, c = 7.357 Å
α = 49.18°, β = 49.18°, γ = 90.00°
Sites, in units of the cell vectors:
Ga 0.500 0.500 0.000
Ga 0.250 0.750 0.500
Br 0.771 0.125 0.250
Br 0.979 0.625 0.250
Br 0.375 0.229 0.750
Br 0.875 0.021 0.750
Zr 0.000 0.000 0.000
Zr 0.750 0.250 0.500

Entry 5:
## Zr2Ga2Br (PBE-GGA)

Data for a relaxed structure of Zr2Ga2Br.

Results
- calculated volume (Å³/cell) = 209
- total DFT energy (no corrections) (eV/atom) = -5.4113

a = 7.446 Å, b = 7.446 Å, c = 3.776 Å
α = 90.00°, β = 90.00°, γ = 90.00°
Sites, in units of the cell vectors:
Ga 0.119 0.619 0.500
Ga 0.619 0.881 0.500
Ga 0.881 0.381 0.500
Ga 0.381 0.119 0.500
Br 0.000 0.000 0.000
Br 0.500 0.500 0.000
Zr 0.322 0.822 0.000
Zr 0.822 0.678 0.000
Zr 0.678 0.178 0.000
Zr 0.178 0.322 0.000

Entry 6:
## Zr2GaBr8 (PBE-GGA)

Data for a relaxed structure of Zr2GaBr8.

Results
- calculated volume (Å³/cell) = 526
- total DFT energy (no corrections) (eV/atom) = -4.1286

a = 7.279 Å, b = 8.756 Å, c = 8.756 Å
α = 72.31°, β = 83.24°, γ = 83.24°
Each line ends with the local moment (μB).
Sites, in units of the cell vectors:
Zr 0.653 0.795 0.795  0.37
Zr 0.347 0.205 0.205  0.37
Ga 0.000 0.000 0.000  0.01
Br 0.230 0.302 0.927  0.00
Br 0.770 0.073 0.698  0.00
Br 0.300 0.812 0.812  0.00
Br 0.700 0.188 0.188  0.00
Br 0.230 0.927 0.302  0.00
Br 0.770 0.698 0.073  0.00
Br 0.801 0.624 0.624  0.00
Br 0.199 0.376 0.376  0.00

Entry 7:
## ZrGa2Br6 (PBE-GGA)

Data for a relaxed structure of ZrGa2Br6.

Results
- calculated volume (Å³/cell) = 621
- total DFT energy (no corrections) (eV/atom) = -3.7663

a = 7.267 Å, b = 8.038 Å, c = 10.665 Å
α = 90.00°, β = 85.83°, γ = 90.00°
Sites, in units of the cell vectors:
Zr 0.500 0.500 0.000
Zr 0.000 0.000 0.500
Ga 0.024 0.613 0.801
Ga 0.476 0.113 0.699
Ga 0.524 0.887 0.301
Ga 0.976 0.387 0.199
Br 0.138 0.044 0.265
Br 0.164 0.276 0.569
Br 0.200 0.325 0.952
Br 0.300 0.825 0.548
Br 0.336 0.776 0.931
Br 0.362 0.544 0.235
Br 0.862 0.956 0.735
Br 0.836 0.724 0.431
Br 0.800 0.675 0.048
Br 0.700 0.175 0.452
Br 0.664 0.224 0.069
Br 0.638 0.456 0.765

Entry 8:
## ZrGaBr6 (PBE-GGA)

Data for a relaxed structure of ZrGaBr6.

Results
- calculated volume (Å³/cell) = 248
- total DFT energy (no corrections) (eV/atom) = -3.7056

a = 6.841 Å, b = 6.840 Å, c = 7.283 Å
α = 61.97°, β = 61.97°, γ = 59.99°
Sites, in units of the cell vectors:
Zr 0.000 0.000 0.000
Ga 0.500 0.500 0.500
Br 0.090 0.398 0.752
Br 0.760 0.090 0.752
Br 0.602 0.240 0.248
Br 0.240 0.910 0.248
Br 0.910 0.602 0.248
Br 0.398 0.760 0.752

Entry 9:
## ZrGaBr2 (PBE-GGA)

Data for a relaxed structure of ZrGaBr2.

Results
- calculated volume (Å³/cell) = 105
- total DFT energy (no corrections) (eV/atom) = -4.4058

a = 10.502 Å, b = 10.502 Å, c = 10.502 Å
α = 18.78°, β = 18.78°, γ = 18.78°
Sites, in units of the cell vectors:
Ga 0.000 0.000 0.000
Br 0.897 0.897 0.897
Br 0.103 0.103 0.103
Zr 0.500 0.500 0.500

Entry 10:
## Zr2GaBr (PBE-GGA)

Data for a relaxed structure of Zr2GaBr.

Results
- calculated volume (Å³/cell) = 226
- total DFT energy (no corrections) (eV/atom) = -5.1603

a = 5.899 Å, b = 5.899 Å, c = 7.729 Å
α = 67.57°, β = 67.57°, γ = 90.00°
Sites, in units of the cell vectors:
Ga 0.500 0.500 0.000
Ga 0.250 0.750 0.500
Br 0.000 0.000 0.000
Br 0.750 0.250 0.500
Zr 0.603 0.125 0.250
Zr 0.147 0.625 0.250
Zr 0.375 0.397 0.750
Zr 0.875 0.853 0.750

Entry 11:
## GdBr3 (PBE-GGA)

Data for a relaxed structure of GdBr3.

Results
- calculated volume (Å³/cell) = 160
- total DFT energy (no corrections) (eV/atom) = -6.6093

a = 3.810 Å, b = 7.229 Å, c = 7.089 Å
α = 120.65°, β = 105.59°, γ = 90.00°
Each line ends with the local moment (μB).
Sites, in units of the cell vectors:
Gd 0.000 0.042 0.000  6.94
Br 0.341 0.734 0.681  0.00
Br 0.500 0.337 0.000  0.00
Br 0.659 0.053 0.319  0.00

Entry 12:
## GdBr (PBE-GGA)

Data for a relaxed structure of GdBr.

Results
- calculated volume (Å³/cell) = 137
- total DFT energy (no corrections) (eV/atom) = -9.0742

a = 3.868 Å, b = 3.868 Å, c = 10.558 Å
α = 90.00°, β = 90.00°, γ = 120.00°
Each line ends with the local moment (μB).
Sites, in units of the cell vectors:
Gd 0.667 0.333 0.865  7.30
Gd 0.333 0.667 0.135  7.30
Br 0.667 0.333 0.319  0.00
Br 0.333 0.667 0.681  0.00